The following is a DFT calculation (GGA+U) of a geometry-optimized KTiCoO4 structure.

Unit cell a=5.7285 b=5.7285 c=5.5891 alpha=120.83 beta=120.83 gamma=90.00
Last column: nearest neighbours and their distance in Å.
Element x y z (fractional)
O1 0.8738 0.5243 0.2695  1 Ti 1.83, 1 Co 1.85
Co1 0.2500 0.7500 0.5000  4 O 1.85
O2 0.4757 0.6042 0.7305  1 Ti 1.83, 1 Co 1.85
O3 0.2547 0.1262 0.7305  1 Ti 1.83, 1 Co 1.85
O4 0.3958 0.7453 0.2695  1 Ti 1.83, 1 Co 1.85
K1 0.0000 0.0000 0.0000  8 O 2.88-3.19
Ti1 0.5000 0.5000 0.0000  4 O 1.83

uncorrected energy: -6.877 eV/atom
ρ: 2.76 g/cm3
spin magnetization: 4.0 μB/f.u.
space group: No. 82